P:
4
Lattice="-2.6478 7.1919 2.3183 -6.0944 5.1848 0.2919 -5.1027 4.1815 4.5372" Properties=species:S:1:pos:R:3 comment="SrZnCl2 (PBE, optimized geometry)" total_magnetization_mub_per_cell=0.000 pbc="T T T"
Cl -0.4776 0.5712 0.2466
Cl -3.0735 3.6758 1.5867
Zn -10.3113 12.3321 5.3232
Sr -6.9050 8.2582 3.5647


Q:
4
Lattice="-3.6596 -2.2136 -1.1614 1.7195 -3.7335 1.6978 -1.3813 -0.7094 5.7046" Properties=species:S:1:pos:R:3 comment="SrZnCl2 (PBE, optimized geometry)" total_magnetization_mub_per_cell=0.000 pbc="T T T"
Sr 0.6254 -2.9840 3.7167
Cl 0.4688 -4.3309 6.7772
Cl -1.8047 -2.3650 1.7381
Zn -2.1038 -3.6410 5.1125


R:
4
Lattice="-2.6105 -6.9385 4.5165 1.3120 -6.2900 5.8369 -1.8392 -4.0523 7.4533" Properties=species:S:1:pos:R:3 comment="SrZnCl2 (PBE, optimized geometry)" total_magnetization_mub_per_cell=0.000 pbc="T T T"
Cl -2.7807 -15.3144 15.7804
Zn -1.5689 -8.6404 8.9034
Sr 0.0000 0.0000 0.0000
Cl -0.3570 -1.9664 2.0263


Verdict on stability: R comes out at the bottom.


P:
4
Lattice="-2.6620 -0.8705 3.1423 -1.6917 -3.0991 -2.2918 3.9802 -3.8728 2.2989" Properties=species:S:1:pos:R:3 comment="SrZnCl2 (PBE, optimized geometry)" total_magnetization_mub_per_cell=0.000 pbc="T T T"
Sr 1.7978 -1.7493 1.0384
Cl 3.8024 -3.6999 2.1963
Zn 1.0717 -5.1456 2.3016
Cl -1.0752 -3.0567 1.0616


Q:
4
Lattice="8.6971 0.4479 -0.0758 6.4236 5.8802 0.0758 -7.3832 -3.5874 2.9094" Properties=species:S:1:pos:R:3 comment="SrZnCl2 (PBE, optimized geometry)" total_magnetization_mub_per_cell=0.000 pbc="T T T"
Cl 14.9585 6.2603 0.0000
Zn 4.1973 3.1038 1.4926
Cl 3.1067 -0.5445 1.4168
Sr 8.1559 3.4133 0.0000


Verdict on stability: P comes out at the bottom.


P:
4
Lattice="5.2498 -0.0218 -0.0040 0.0211 5.2499 0.0040 -2.6334 -2.6160 3.7115" Properties=species:S:1:pos:R:3 comment="SrZnCl2 (PBE, optimized geometry)" total_magnetization_mub_per_cell=0.000 pbc="T T T"
Cl 2.6360 2.6146 0.0000
Sr 2.6259 -0.0119 1.8537
Zn 0.0116 2.6240 1.8578
Cl 5.2704 5.2276 0.0000


Q:
4
Lattice="-4.9561 1.7201 -0.5317 -4.0370 -3.2635 0.9257 -3.0232 0.6896 4.2648" Properties=species:S:1:pos:R:3 comment="SrZnCl2 (PBE, optimized geometry)" total_magnetization_mub_per_cell=0.000 pbc="T T T"
Sr -6.0082 -0.4269 2.3294
Cl -3.0041 -0.2135 1.1647
Cl 0.0000 0.0000 0.0000
Zn -9.0123 -0.6404 3.4941


Verdict on stability: Q comes out at the bottom.


P:
4
Lattice="2.5236 0.0000 10.1072 -1.2618 2.1855 10.1072 -1.2618 -2.1855 10.1072" Properties=species:S:1:pos:R:3 comment="SrZnCl2 (PBE, optimized geometry)" total_magnetization_mub_per_cell=0.000 pbc="T T T"
Cl 0.0000 0.0000 3.6194
Zn 0.0000 0.0000 0.0000
Sr 0.0000 0.0000 15.1608
Cl 0.0000 0.0000 26.7022


Q:
16
Lattice="-3.8427 -8.0845 -2.1636 -3.6315 -5.2873 6.6078 -9.1317 -1.0533 0.5558" Properties=species:S:1:pos:R:3 comment="SrZnCl2 (PBE, optimized geometry)" total_magnetization_mub_per_cell=0.000 pbc="T T T"
Sr -3.8915 -4.4468 3.9289
Cl -14.9413 -12.9793 4.4989
Cl -5.8160 -5.0522 1.7512
Zn -10.3787 -9.0157 3.1250
Cl -11.2864 -5.6832 2.0842
Cl -8.1180 -9.8953 0.4551
Zn -8.5629 -6.3721 -0.1789
Cl -12.7659 -9.8119 0.5404
Cl -7.9914 -8.2196 5.7096
Cl -12.6394 -8.1362 5.7950
Cl -9.4710 -12.3483 4.1659
Sr -2.0757 -1.8031 0.6250
Zn -8.4573 -4.9735 4.2068
Sr -3.9971 -5.8454 -0.4568
Sr -6.6416 -2.3298 0.9029
Zn -5.8128 -8.4891 2.8471


Verdict on stability: Q comes out at the bottom.


P:
4
Lattice="6.1048 -0.0144 0.0000 2.9274 5.3572 0.0000 -4.5161 -2.6714 3.1205" Properties=species:S:1:pos:R:3 comment="SrZnCl2 (PBE, optimized geometry)" total_magnetization_mub_per_cell=0.000 pbc="T T T"
Cl 0.0000 0.0000 0.0000
Sr 4.5161 2.6714 0.0000
Cl 1.4637 2.6786 1.5602
Zn 3.0524 -0.0072 1.5602


Q:
4
Lattice="3.6988 0.0000 0.0000 0.0000 3.6987 0.0000 0.0000 0.0000 9.8105" Properties=species:S:1:pos:R:3 comment="SrZnCl2 (PBE, optimized geometry)" total_magnetization_mub_per_cell=0.000 pbc="T T T"
Cl 0.0000 0.0000 4.0485
Sr 1.8494 1.8493 2.4526
Zn 1.8494 1.8493 7.3579
Cl 0.0000 0.0000 0.8568


Verdict on stability: P comes out at the bottom.


P:
3
Lattice="-4.4978 1.9997 1.5457 -4.2558 -2.9165 -0.0004 -2.0942 -1.5080 4.4674" Properties=species:S:1:pos:R:3 comment="SrZnCl (PBE, optimized geometry)" total_magnetization_mub_per_cell=0.000 pbc="T T T"
Cl 0.0000 0.0000 0.0000
Sr -5.4239 -1.2124 3.0063
Zn -8.1358 -1.8186 4.5095


Q:
3
Lattice="5.0097 0.0000 0.0000 -2.5048 4.3385 0.0000 0.0000 0.0000 4.5283" Properties=species:S:1:pos:R:3 comment="SrZnCl (PBE, optimized geometry)" total_magnetization_mub_per_cell=0.062 pbc="T T T"
Cl 0.0000 0.0000 0.7540
Zn 0.0000 2.8923 3.0177
Sr 2.5048 1.4462 0.7565


R:
3
Lattice="-1.6315 -2.0889 -4.4998 1.7144 -4.7103 -1.4655 -3.2461 -4.0908 0.0455" Properties=species:S:1:pos:R:3 comment="SrZnCl (PBE, optimized geometry)" total_magnetization_mub_per_cell=0.000 pbc="T T T"
Cl -1.5816 -5.4450 -2.9599
Sr -2.3724 -8.1675 -4.4399
Zn 0.0000 0.0000 0.0000


Verdict on stability: P comes out at the bottom.


P:
6
Lattice="2.1845 -4.7336 3.1165 2.2503 0.8169 5.5822 -3.0186 -2.1099 4.8300" Properties=species:S:1:pos:R:3 comment="SrZnCl4 (PBE, optimized geometry)" total_magnetization_mub_per_cell=2.034 pbc="T T T"
Sr 1.0622 -4.5200 10.1466
Cl 1.6250 -4.6297 6.6313
Cl -0.9813 -3.3155 7.4896
Zn 0.0000 0.0000 0.0000
Cl 1.6580 -1.8494 7.8664
Cl 0.5308 -2.2586 5.0702


Q:
12
Lattice="-0.9113 7.5024 4.2471 -7.3869 4.2626 -1.5549 2.1166 -8.1213 2.1725" Properties=species:S:1:pos:R:3 comment="SrZnCl4 (PBE, optimized geometry)" total_magnetization_mub_per_cell=0.000 pbc="T T T"
Sr -3.8268 3.1378 4.3737
Zn 0.3224 -2.7447 3.0277
Zn -6.5040 6.3885 1.8370
Cl -2.9703 5.5665 2.8361
Cl -3.2113 -1.9227 2.0286
Cl -6.3396 4.6780 3.3830
Cl -4.8381 1.4738 2.0924
Cl 0.1580 -1.0341 1.4816
Cl -5.6180 8.2449 2.8915
Cl -0.5637 -4.6011 1.9731
Cl -1.3435 2.1700 2.7723
Sr -2.3549 0.5060 0.4909


Verdict on stability: P comes out at the bottom.


P:
5
Lattice="-2.0770 4.3942 3.1498 1.2179 -2.9072 4.8589 3.4499 2.5146 4.0916" Properties=species:S:1:pos:R:3 comment="SrZn2Cl2 (PBE, optimized geometry)" total_magnetization_mub_per_cell=0.000 pbc="T T T"
Sr 0.0000 0.0000 0.0000
Zn 0.6958 1.2572 4.0296
Cl 2.1191 0.1754 6.4774
Cl 0.4717 3.8261 5.6229
Zn 1.8950 2.7443 8.0706


Q:
10
Lattice="-2.9623 -2.2280 6.9021 5.1968 -5.8527 0.3412 2.8846 2.6840 2.1045" Properties=species:S:1:pos:R:3 comment="SrZn2Cl2 (PBE, optimized geometry)" total_magnetization_mub_per_cell=0.000 pbc="T T T"
Zn 0.5424 -5.5570 6.3439
Cl 4.4817 -3.1792 2.6523
Cl 0.6374 -2.2176 6.6954
Cl 1.5714 -0.4874 3.2084
Sr 1.1173 -4.0404 3.6216
Sr 0.0000 0.0000 0.0000
Zn 3.4675 -6.0692 2.9877
Zn -1.2330 -2.0116 4.2556
Cl 3.5477 -4.9094 6.1393
Zn 1.6921 -2.5238 0.8993


Verdict on stability: Q comes out at the bottom.


P:
5
Lattice="-4.4171 -1.3456 2.1166 -1.4622 -2.1012 -4.3872 2.0378 -4.4244 1.4398" Properties=species:S:1:pos:R:3 comment="SrZnCl3 (PBE, optimized geometry)" total_magnetization_mub_per_cell=0.000 pbc="T T T"
Sr -1.9207 -3.9356 -0.4154
Cl 1.0189 -2.2122 0.7199
Cl -0.7311 -1.0506 -2.1936
Zn 0.0000 0.0000 0.0000
Cl -2.2085 -0.6728 1.0583


Q:
5
Lattice="5.6462 0.0000 0.0000 0.0000 5.6462 0.0000 0.0000 0.0000 5.6462" Properties=species:S:1:pos:R:3 comment="SrZnCl3 (PBE, optimized geometry)" total_magnetization_mub_per_cell=0.983 pbc="T T T"
Sr 0.0000 0.0000 0.0000
Cl 0.0000 2.8231 0.0000
Cl 0.0000 0.0000 2.8231
Cl 2.8231 0.0000 0.0000
Zn 2.8231 2.8231 2.8231


Verdict on stability: Q comes out at the bottom.


P:
4
Lattice="3.3169 0.0055 0.0000 -1.6350 2.8860 0.0000 0.0000 0.0000 10.7277" Properties=species:S:1:pos:R:3 comment="SrZr2Cl (PBE, optimized geometry)" total_magnetization_mub_per_cell=0.000 pbc="T T T"
Zr 0.0000 0.0000 4.9100
Sr 0.8410 1.4457 8.0458
Zr 0.0000 0.0000 0.4538
Cl 0.8410 1.4457 2.6819


Q:
4
Lattice="-1.2268 2.7095 1.5124 -3.0903 -2.7833 2.4796 2.7037 -2.0260 5.8227" Properties=species:S:1:pos:R:3 comment="SrZr2Cl (PBE, optimized geometry)" total_magnetization_mub_per_cell=0.000 pbc="T T T"
Zr -0.0050 -0.2021 0.3579
Cl 0.8404 -1.9507 4.1763
Sr -1.1371 -2.0145 6.3675
Zr -1.5052 -0.3373 3.0641


R:
4
Lattice="7.4253 0.0000 0.0000 0.0000 4.0742 0.0000 0.0000 0.0000 4.0742" Properties=species:S:1:pos:R:3 comment="SrZr2Cl (PBE, optimized geometry)" total_magnetization_mub_per_cell=0.000 pbc="T T T"
Zr 0.0000 0.0000 0.0000
Cl 3.7126 2.0371 0.0000
Zr 0.0000 2.0371 2.0371
Sr 3.7126 0.0000 2.0371


S:
4
Lattice="3.3374 0.0000 0.0000 0.0000 6.3689 0.0000 0.0000 0.0000 5.5855" Properties=species:S:1:pos:R:3 comment="SrZr2Cl (PBE, optimized geometry)" total_magnetization_mub_per_cell=0.000 pbc="T T T"
Zr 0.0000 0.0000 2.8760
Sr 1.6687 3.1844 4.1892
Zr 0.0000 0.0000 5.5023
Cl 1.6687 3.1844 1.3964


Verdict on stability: S comes out at the bottom.


P:
4
Lattice="7.9704 0.0126 0.0000 5.8777 5.3834 0.0000 -6.9241 -2.6980 2.8820" Properties=species:S:1:pos:R:3 comment="SrZr2Cl (PBE, optimized geometry)" total_magnetization_mub_per_cell=0.000 pbc="T T T"
Sr 3.9852 0.0063 1.4410
Zr 6.9241 2.6980 0.0000
Cl 2.9388 2.6917 1.4410
Zr 0.0000 0.0000 0.0000


Q:
4
Lattice="0.0000 3.7417 3.7417 3.7417 0.0000 3.7417 3.7417 3.7417 0.0000" Properties=species:S:1:pos:R:3 comment="SrZr2Cl (PBE, optimized geometry)" total_magnetization_mub_per_cell=0.000 pbc="T T T"
Zr 5.6126 5.6126 5.6126
Cl 0.0000 0.0000 0.0000
Zr 1.8709 1.8709 1.8709
Sr 3.7417 3.7417 3.7417


Verdict on stability: Q comes out at the bottom.


P:
4
Lattice="-2.8146 1.2190 -5.6505 -4.9706 -3.9522 -1.0051 2.7464 4.8195 3.2505" Properties=species:S:1:pos:R:3 comment="SrZr2Cl (PBE, optimized geometry)" total_magnetization_mub_per_cell=0.000 pbc="T T T"
Cl -4.0989 -1.4390 -3.5042
Zr -7.4824 -2.6269 -6.3968
Sr -3.3341 -0.3464 -0.7770
Zr -1.8010 2.3989 -2.7105


Q:
4
Lattice="7.0021 -0.0051 -0.0179 6.2425 3.1717 -0.0179 1.7913 0.4283 4.6313" Properties=species:S:1:pos:R:3 comment="SrZr2Cl (PBE, optimized geometry)" total_magnetization_mub_per_cell=0.000 pbc="T T T"
Cl 11.2769 2.6961 3.4465
Zr 7.1277 1.7041 2.4483
Zr 2.1815 0.5216 4.4806
Sr 3.7590 0.8987 1.1488


Verdict on stability: P comes out at the bottom.